*1*
Entry from the Alexandria database: an optimized crystal structure of CsWS2 (PBE).

Computed properties:
Its crystal system is trigonal. As for the space group: R-3m (166).

Geometry as POSCAR:
```
CsWS2
1.0
4.4124 -5.4000 6.8815
5.3555 -7.2619 3.8167
7.3294 -4.3054 4.8710
Cs S W
1 2 1
direct
0.5000 0.5000 0.5000
0.9231 0.9231 0.9231
0.0769 0.0769 0.0769
0.0000 0.0000 0.0000
```

---

*2*
Entry from the Alexandria database: an optimized crystal structure of CsWS2 (PBE).

Computed properties:
Its crystal system is trigonal. As for the space group: R-3m (166).

Geometry as POSCAR:
```
CsWS2
1.0
2.0141 0.0000 9.4394
-1.0071 1.7443 9.4394
-1.0071 -1.7443 9.4394
Cs S W
1 2 1
direct
0.0000 0.0000 0.0000
0.8841 0.8841 0.8841
0.1159 0.1159 0.1159
0.5000 0.5000 0.5000
```

---

Verdict on stability: *1* comes out at the bottom.

---

*1*
Entry from the Alexandria database: an optimized crystal structure of CsZn2S2 (PBE).

Computed properties:
Its crystal system is tetragonal. As for the space group: I4/mmm (139).

Geometry as POSCAR:
```
CsZn2S2
1.0
-0.1365 4.9502 -0.2273
-2.6510 -0.2651 -4.1805
-6.5856 2.3505 1.0878
Cs Zn S
1 2 2
direct
0.0000 0.0000 0.0000
0.2725 0.2725 0.4549
0.7275 0.7275 0.5451
0.7500 0.2500 0.5000
0.2500 0.7500 0.5000
```

---

*2*
Entry from the Alexandria database: an optimized crystal structure of CsZn2S2 (PBE).

Computed properties:
Its crystal system is tetragonal. As for the space group: I4/mmm (139).

Geometry as POSCAR:
```
CsZn2S2
1.0
4.4411 0.0000 0.0000
0.0000 4.4411 0.0000
2.2205 2.2205 6.6826
Cs Zn S
1 2 2
direct
0.0000 0.0000 0.0000
0.7500 0.2500 0.5000
0.2500 0.7500 0.5000
0.3345 0.3345 0.3309
0.6655 0.6655 0.6691
```

---

Verdict on stability: *1* comes out at the bottom.

---

*1*
Entry from the Alexandria database: an optimized crystal structure of CsZnS3 (PBE).

Computed properties:
Its crystal system is cubic. As for the space group: Pm-3m (221).

Geometry as POSCAR:
```
CsZnS3
1.0
-1.9071 -0.4448 -5.3694
0.1298 -5.6980 0.4259
-5.3862 0.0201 1.9114
Cs Zn S
1 1 3
direct
0.0000 0.0000 0.0000
0.5000 0.5000 0.5000
0.0000 0.5000 0.0000
0.0000 0.0000 0.5000
0.5000 0.0000 0.0000
```

---

*2*
Entry from the Alexandria database: an optimized crystal structure of CsZnS3 (PBE).

Computed properties:
Its crystal system is cubic. As for the space group: Pm-3m (221).

Geometry as POSCAR:
```
CsZnS3
1.0
-3.5879 -0.2872 -3.3743
1.6895 -4.4123 -1.4209
-2.9350 -2.1888 3.3071
Cs Zn S
1 1 3
direct
0.5000 0.5000 0.5000
0.0000 0.0000 0.0000
0.0000 0.5000 0.0000
0.0000 0.0000 0.5000
0.5000 0.0000 0.0000
```

---

Verdict on stability: *1* comes out at the bottom.

---

*1*
Entry from the Alexandria database: an optimized crystal structure of CsZr4S8 (PBE).

Computed properties:
Its crystal system is monoclinic. As for the space group: Cm (8).

Geometry as POSCAR:
```
CsZr4S8
1.0
3.6313 0.0000 0.7866
1.6479 8.9796 1.1677
-0.2096 0.0084 9.7433
Cs Zr S
1 4 8
direct
0.5161 0.0013 0.9664
0.3640 0.8281 0.4440
0.8515 0.4969 0.8001
0.1799 0.5064 0.1338
0.6674 0.1754 0.4897
0.1516 0.3302 0.3666
0.5536 0.6657 0.2271
0.4778 0.3377 0.7067
0.8795 0.6736 0.5674
0.8546 0.9842 0.3067
0.2203 0.6639 0.8955
0.1768 0.0194 0.6270
0.8112 0.3393 0.0383
```

---

*2*
Entry from the Alexandria database: an optimized crystal structure of CsZr4S8 (PBE).

Computed properties:
Its crystal system is trigonal. As for the space group: R-3m (166).

Geometry as POSCAR:
```
CsZr4S8
1.0
7.3361 0.0000 0.0000
3.6680 6.3532 0.0000
3.6680 2.1177 8.7422
Cs Zr S
1 4 8
direct
0.5000 0.5000 0.5000
0.0000 0.5000 0.0000
0.5000 0.5000 0.0000
0.5000 0.0000 0.0000
0.0000 0.0000 0.0000
0.7247 0.2232 0.8289
0.7768 0.2753 0.1711
0.2753 0.7768 0.1711
0.7768 0.7768 0.1711
0.7233 0.7233 0.8301
0.2767 0.2767 0.1699
0.2232 0.2232 0.8289
0.2232 0.7247 0.8289
```

---

Verdict on stability: *1* comes out at the bottom.

---

*1*
Entry from the Alexandria database: an optimized crystal structure of CsZrS3 (PBE).

Computed properties:
Its crystal system is monoclinic. As for the space group: P2_1/c (14).

Geometry as POSCAR:
```
CsZrS3
1.0
8.7459 0.0026 0.0000
-4.3621 9.3847 0.0000
0.0000 0.0000 9.8164
Cs Zr S
4 4 12
direct
0.4400 0.8799 0.2494
0.5600 0.1201 0.7506
0.0600 0.1201 0.7494
0.9400 0.8799 0.2506
0.6134 0.7259 0.6358
0.3866 0.2741 0.3642
0.8866 0.2741 0.1358
0.1134 0.7259 0.8642
0.7772 0.0531 0.0286
0.2228 0.9469 0.9714
0.7228 0.9469 0.5286
0.2772 0.0531 0.4714
0.3580 0.7132 0.7516
0.6420 0.2868 0.2484
0.1420 0.2868 0.2516
0.8580 0.7132 0.7484
0.0393 0.5798 0.0768
0.9607 0.4202 0.9232
0.4607 0.4202 0.5768
0.5393 0.5798 0.4232
```

---

*2*
Entry from the Alexandria database: an optimized crystal structure of CsZrS3 (PBE).

Computed properties:
Its crystal system is cubic. As for the space group: Pm-3m (221).

Geometry as POSCAR:
```
CsZrS3
1.0
-4.0299 -1.9646 2.4701
3.0882 -1.6284 3.7433
-0.6509 4.4373 2.4673
Cs S Zr
1 3 1
direct
0.5000 0.5000 0.5000
0.0000 0.5000 0.0000
0.0000 0.0000 0.5000
0.5000 0.0000 0.0000
0.0000 0.0000 0.0000
```

---

*3*
Entry from the Alexandria database: an optimized crystal structure of CsZrS3 (PBE).

Computed properties:
Its crystal system is cubic. As for the space group: Pm-3m (221).

Geometry as POSCAR:
```
CsZrS3
1.0
-2.2547 -4.7774 0.8316
4.1714 -1.4432 3.0192
-2.4727 1.9216 4.3349
Cs S Zr
1 3 1
direct
0.0000 0.0000 0.0000
0.0000 0.5000 0.0000
0.0000 0.0000 0.5000
0.5000 0.0000 0.0000
0.5000 0.5000 0.5000
```

---

Verdict on stability: *3* comes out at the bottom.

---

*1*
Entry from the Alexandria database: an optimized crystal structure of CsSc3Sb (PBE).

Computed properties:
Its crystal system is cubic. As for the space group: Pm-3m (221).

Geometry as POSCAR:
```
CsSc3Sb
1.0
-2.9104 3.1176 -3.0657
-0.5651 -3.9201 -3.4500
-4.3358 -1.5818 2.5076
Cs Sb Sc
1 1 3
direct
0.0000 0.0000 0.0000
0.5000 0.5000 0.5000
0.0000 0.5000 0.0000
0.0000 0.0000 0.5000
0.5000 0.0000 0.0000
```

---

*2*
Entry from the Alexandria database: an optimized crystal structure of CsSc3Sb (PBE).

Computed properties:
Its crystal system is cubic. As for the space group: Pm-3m (221).

Geometry as POSCAR:
```
CsSc3Sb
1.0
-0.4008 1.7530 -5.3725
-2.9523 -4.6575 -1.2995
-4.8188 2.7077 1.2430
Cs Sb Sc
1 1 3
direct
0.5000 0.5000 0.5000
0.0000 0.0000 0.0000
0.0000 0.5000 0.0000
0.0000 0.0000 0.5000
0.5000 0.0000 0.0000
```

---

Verdict on stability: *1* comes out at the bottom.

---

*1*
Entry from the Alexandria database: an optimized crystal structure of Cs2ScSb2 (PBE).

Computed properties:
Its crystal system is tetragonal. As for the space group: I4/mmm (139).

Geometry as POSCAR:
```
Cs2ScSb2
1.0
4.2751 0.0000 0.0000
0.0000 4.2751 0.0000
2.1376 2.1376 13.2414
Cs Sb Sc
2 2 1
direct
0.3753 0.3753 0.2494
0.6247 0.6247 0.7506
0.7500 0.2500 0.5000
0.2500 0.7500 0.5000
0.0000 0.0000 0.0000
```

---

*2*
Entry from the Alexandria database: an optimized crystal structure of Cs2ScSb2 (PBE).

Computed properties:
Its crystal system is tetragonal. As for the space group: P4/mbm (127).

Geometry as POSCAR:
```
Cs2ScSb2
1.0
-5.7799 -4.6426 2.3385
4.5754 -6.2034 -1.0068
2.0760 0.5282 6.1796
Cs Sc Sb
4 2 4
direct
0.6717 0.1717 0.5000
0.8283 0.6717 0.5000
0.3283 0.8283 0.5000
0.1717 0.3283 0.5000
0.0000 0.0000 0.0000
0.5000 0.5000 0.0000
0.8661 0.3661 0.0000
0.6339 0.8661 0.0000
0.1339 0.6339 0.0000
0.3661 0.1339 0.0000
```

---

Verdict on stability: *1* comes out at the bottom.

---

*1*
Entry from the Alexandria database: an optimized crystal structure of CsScSb2Te (PBE).

Computed properties:
Its crystal system is tetragonal. As for the space group: P4/mmm (123).

Geometry as POSCAR:
```
CsScSb2Te
1.0
6.0063 0.0000 0.0000
0.0000 6.0063 0.0000
0.0000 0.0000 6.1288
Cs Sb Te Sc
1 2 1 1
direct
0.0000 0.0000 0.0000
0.0000 0.5000 0.0000
0.5000 0.0000 0.0000
0.0000 0.0000 0.5000
0.5000 0.5000 0.5000
```

---

*2*
Entry from the Alexandria database: an optimized crystal structure of CsScSb2Te (PBE).

Computed properties:
Its crystal system is tetragonal. As for the space group: P4/mmm (123).

Geometry as POSCAR:
```
CsScSb2Te
1.0
-3.9470 -3.3022 -2.2834
-1.2699 -2.0107 5.1031
-3.9078 4.1993 0.6821
Cs Sb Te Sc
1 2 1 1
direct
0.5000 0.5000 0.5000
0.0000 0.5000 0.0000
0.5000 0.0000 0.0000
0.0000 0.0000 0.5000
0.0000 0.0000 0.0000
```

---

Verdict on stability: *1* comes out at the bottom.

---

*1*
Entry from the Alexandria database: an optimized crystal structure of CsSb3Se (PBE).

Computed properties:
Its crystal system is cubic. As for the space group: Pm-3m (221).

Geometry as POSCAR:
```
CsSb3Se
1.0
6.2079 0.0000 0.0000
0.0000 6.2079 0.0000
0.0000 0.0000 6.2079
Cs Sb Se
1 3 1
direct
0.0000 0.0000 0.0000
0.0000 0.5000 0.0000
0.0000 0.0000 0.5000
0.5000 0.0000 0.0000
0.5000 0.5000 0.5000
```

---

*2*
Entry from the Alexandria database: an optimized crystal structure of CsSb3Se (PBE).

Computed properties:
Its crystal system is cubic. As for the space group: Pm-3m (221).

Geometry as POSCAR:
```
CsSb3Se
1.0
5.6609 0.0000 0.0000
0.0000 5.6609 0.0000
0.0000 0.0000 5.6609
Cs Sb Se
1 3 1
direct
0.5000 0.5000 0.5000
0.0000 0.5000 0.0000
0.0000 0.0000 0.5000
0.5000 0.0000 0.0000
0.0000 0.0000 0.0000
```

---

Verdict on stability: *1* comes out at the bottom.

---

*1*
Entry from the Alexandria database: an optimized crystal structure of Cs4SbSe4 (PBE).

Computed properties:
Its crystal system is tetragonal. As for the space group: I-42m (121).

Geometry as POSCAR:
```
Cs4SbSe4
1.0
7.9960 -1.1333 -4.7917
-5.2002 7.8136 0.2922
-0.7543 1.1333 9.2912
Cs Sb Se
4 1 4
direct
0.5000 0.5000 0.0000
0.5000 0.0000 0.5000
0.0000 0.7007 0.7007
0.0000 0.2993 0.2993
0.0000 0.0000 0.0000
0.6421 0.9302 0.9302
0.0000 0.0698 0.7119
0.3579 0.2881 0.2881
0.0000 0.7119 0.0698
```

---

*2*
Entry from the Alexandria database: an optimized crystal structure of Cs4SbSe4 (PBE).

Computed properties:
Its crystal system is tetragonal. As for the space group: I4/m (87).

Geometry as POSCAR:
```
Cs4SbSe4
1.0
-4.3134 -3.9116 -4.3655
3.1637 -7.3620 -2.5956
-5.1777 -5.3920 3.8812
Cs Sb Se
4 1 4
direct
0.7969 0.6143 0.7919
0.2031 0.3857 0.2081
0.5888 0.2081 0.6143
0.4112 0.7919 0.3857
0.0000 0.0000 0.0000
0.7603 0.3191 0.1604
0.2397 0.6809 0.8396
0.9207 0.8396 0.3191
0.0793 0.1604 0.6809
```

---

Verdict on stability: *2* comes out at the bottom.

---

*1*
Entry from the Alexandria database: an optimized crystal structure of Cs3Sb2Se4 (PBE).

Computed properties:
Its crystal system is monoclinic. As for the space group: C2/m (12).

Geometry as POSCAR:
```
Cs3Sb2Se4
1.0
-4.7576 -2.1010 -0.2153
4.6728 -3.5953 -5.2472
1.3029 -3.9535 9.7879
Cs Sb Se
3 2 4
direct
0.6324 0.2649 0.7195
0.0000 0.0000 0.0000
0.3676 0.7351 0.2805
0.6707 0.3414 0.3448
0.3293 0.6586 0.6552
0.6879 0.3757 0.1162
0.3121 0.6243 0.8838
0.8912 0.7824 0.6256
0.1088 0.2176 0.3744
```

---

*2*
Entry from the Alexandria database: an optimized crystal structure of Cs3Sb2Se4 (PBE).

Computed properties:
Its crystal system is monoclinic. As for the space group: C2/c (15).

Geometry as POSCAR:
```
Cs3Sb2Se4
1.0
9.6739 0.1320 -0.4187
-0.3208 8.6844 -4.6745
0.2281 -0.2485 9.9380
Cs Sb Se
6 4 8
direct
0.1134 0.7565 0.7366
0.3866 0.0199 0.2634
0.8866 0.2435 0.2634
0.6134 0.9801 0.7366
0.7500 0.5375 0.0000
0.2500 0.4625 0.0000
0.5480 0.5513 0.3892
0.9520 0.1621 0.6108
0.4520 0.4487 0.6108
0.0480 0.8379 0.3892
0.4730 0.7037 0.8661
0.0270 0.8376 0.1339
0.5270 0.2963 0.1339
0.9730 0.1624 0.8661
0.8498 0.6713 0.4069
0.6502 0.2644 0.5931
0.1502 0.3287 0.5931
0.3498 0.7356 0.4069
```

---

Verdict on stability: *1* comes out at the bottom.